Entry P
Compound: LaY2H2
Source: Alexandria via LeMat-Bulk
Functional: GGA-PBEsol
Structure: optimized geometry

```
LaY2H2
1.0
-2.682 1.383 -0.102
-3.911 -7.607 -0.313
-0.400 -0.146 8.548
Y H La
4 4 2
Direct
0.000 0.374 0.874 Y
0.000 0.874 0.626 Y
0.000 0.626 0.126 Y
0.000 0.126 0.374 Y
0.500 0.083 0.583 H
0.500 0.583 0.917 H
0.500 0.917 0.417 H
0.500 0.417 0.083 H
0.000 0.000 0.000 La
0.000 0.500 0.500 La
```

Calculated values
Its space-group type is P4/mbm, No. 127. The value obtained for the spin magnetization is 0.00 μB/f.u. As for the crystal system: tetragonal.

Entry Q
Compound: LaY2H2
Source: Alexandria via LeMat-Bulk
Functional: GGA-PBEsol
Structure: optimized geometry

```
LaY2H2
1.0
-0.865 1.603 2.992
-2.340 -2.519 0.673
7.454 -3.901 2.194
Y H La
2 2 1
Direct
0.329 0.329 0.658 Y
0.671 0.671 0.342 Y
0.250 0.750 0.500 H
0.750 0.250 0.500 H
0.000 0.000 0.000 La
```

Calculated values
Its space-group type is I4/mmm, No. 139. The value obtained for the spin magnetization is 0.00 μB/f.u. As for the crystal system: tetragonal.

Which of them is the most stable, and which is the least stable? entry Q and entry P, in that order.

Entry P
Compound: LiMnP2H2O8
Source: Alexandria via LeMat-Bulk
Functional: GGA-PBEsol
Structure: optimized geometry

```
LiMnP2H2O8
1.0
-1.705 -4.614 1.714
5.375 -0.415 4.227
-4.129 3.608 5.605
Li Mn P H O
2 2 4 4 16
Direct
0.083 0.500 0.500 Li
0.917 0.000 0.000 Li
0.766 0.500 0.000 Mn
0.234 0.000 0.500 Mn
0.730 0.215 0.355 P
0.730 0.785 0.645 P
0.270 0.285 0.855 P
0.270 0.715 0.145 P
0.534 0.006 0.792 H
0.534 0.994 0.208 H
0.466 0.506 0.708 H
0.466 0.494 0.292 H
0.724 0.948 0.786 O
0.724 0.052 0.214 O
0.276 0.448 0.714 O
0.276 0.552 0.286 O
0.725 0.423 0.279 O
0.725 0.577 0.721 O
0.275 0.077 0.779 O
0.275 0.923 0.221 O
0.489 0.808 0.534 O
0.489 0.192 0.466 O
0.511 0.308 0.966 O
0.511 0.692 0.034 O
0.018 0.699 0.042 O
0.018 0.301 0.958 O
0.982 0.801 0.542 O
0.982 0.199 0.458 O
```

Calculated values
Its space-group type is P2_12_12, No. 18. The value obtained for the spin magnetization is 4.00 μB/f.u. As for the crystal system: orthorhombic.

Entry Q
Compound: LiMnP2H2O8
Source: Alexandria via LeMat-Bulk
Functional: GGA-PBEsol
Structure: optimized geometry

```
LiMnP2H2O8
1.0
8.540 -0.069 0.000
-3.075 8.535 0.000
-2.732 -4.233 7.886
Li Mn P H O
4 4 8 8 32
Direct
0.587 0.254 0.365 Li
0.091 0.775 0.391 Li
0.722 0.889 0.635 Li
0.200 0.385 0.609 Li
0.620 0.586 0.215 Mn
0.905 0.371 0.785 Mn
0.373 0.849 0.711 Mn
0.162 0.138 0.289 Mn
0.321 0.142 0.991 P
0.875 0.597 0.550 P
0.830 0.150 0.009 P
0.445 0.186 0.632 P
0.826 0.047 0.450 P
0.313 0.554 0.368 P
0.916 0.707 0.068 P
0.349 0.640 0.932 P
0.411 0.321 0.846 H
0.663 0.278 0.074 H
0.064 0.475 0.154 H
0.089 0.205 0.926 H
0.815 0.712 0.767 H
0.327 0.879 0.000 H
0.547 0.945 0.233 H
0.827 0.879 0.000 H
0.337 0.157 0.162 O
0.132 0.116 0.875 O
0.330 0.969 0.896 O
0.344 0.992 0.602 O
0.485 0.303 0.009 O
0.675 0.995 0.838 O
0.756 0.241 0.125 O
0.830 0.730 0.670 O
0.934 0.073 0.104 O
0.714 0.508 0.368 O
0.366 0.300 0.723 O
0.398 0.188 0.461 O
0.653 0.279 0.747 O
0.242 0.391 0.398 O
0.064 0.701 0.559 O
0.975 0.293 0.991 O
0.824 0.618 0.157 O
0.660 0.060 0.330 O
0.846 0.140 0.632 O
0.143 0.577 0.277 O
0.789 0.744 0.940 O
0.436 0.727 0.539 O
0.978 0.593 0.964 O
0.406 0.532 0.253 O
0.005 0.142 0.441 O
0.851 0.443 0.591 O
0.167 0.461 0.843 O
0.084 0.889 0.214 O
0.349 0.804 0.060 O
0.514 0.629 0.036 O
0.760 0.852 0.409 O
0.370 0.675 0.786 O
```

Calculated values
Its space-group type is Cc, No. 9. The value obtained for the spin magnetization is 4.00 μB/f.u. As for the crystal system: monoclinic.

Which of them is the most stable, and which is the least stable? entry P and entry Q, in that order.

Entry P
Compound: Li2HN
Source: Alexandria via LeMat-Bulk
Functional: GGA-PBEsol
Structure: optimized geometry

```
Li2HN
1.0
3.171 0.000 0.000
-1.585 3.265 -0.022
0.000 1.940 2.961
H N Li
1 1 2
Direct
0.726 0.000 0.000 H
0.054 0.000 0.000 N
0.208 0.415 0.292 Li
0.793 0.585 0.708 Li
```

Calculated values
Its space-group type is Imm2, No. 44. The value obtained for the spin magnetization is 0.00 μB/f.u. As for the crystal system: orthorhombic.

Entry Q
Compound: Li2HN
Source: Alexandria via LeMat-Bulk
Functional: GGA-PBEsol
Structure: optimized geometry

```
Li2HN
1.0
4.820 0.000 0.000
0.000 4.820 0.000
0.000 0.000 5.247
H N Li
4 4 8
Direct
0.533 0.224 0.500 H
0.467 0.776 0.500 H
0.776 0.533 0.000 H
0.224 0.467 0.000 H
0.252 0.253 0.000 N
0.748 0.747 0.000 N
0.747 0.252 0.500 N
0.253 0.748 0.500 N
0.000 0.000 0.750 Li
0.000 0.000 0.250 Li
0.500 0.500 0.750 Li
0.500 0.500 0.250 Li
0.000 0.500 0.713 Li
0.500 0.000 0.213 Li
0.000 0.500 0.287 Li
0.500 0.000 0.787 Li
```

Calculated values
Its space-group type is P4_2/m, No. 84. The value obtained for the spin magnetization is 0.00 μB/f.u. As for the crystal system: tetragonal.

Entry R
Compound: Li2HN
Source: Alexandria via LeMat-Bulk
Functional: GGA-PBEsol
Structure: optimized geometry

```
Li2HN
1.0
-2.635 -2.395 -0.041
-0.902 -1.603 -3.049
0.783 -3.501 -0.471
H N Li
1 1 2
Direct
0.089 0.089 0.733 H
0.973 0.973 0.080 N
0.284 0.284 0.149 Li
0.747 0.747 0.760 Li
```

Calculated values
Its space-group type is R3m, No. 160. The value obtained for the spin magnetization is 0.00 μB/f.u. As for the crystal system: trigonal.

Which of them is the most stable, and which is the least stable? entry Q and entry R, in that order.

Entry P
Compound: LiH2N
Source: Alexandria via LeMat-Bulk
Functional: GGA-PBEsol
Structure: optimized geometry

```
LiH2N
1.0
-0.274 -0.435 -3.298
1.677 -5.068 -1.159
-3.556 -1.328 0.014
H N Li
4 2 2
Direct
0.446 0.172 0.795 H
0.618 0.828 0.295 H
0.041 0.827 0.058 H
0.869 0.173 0.558 H
0.893 0.700 0.176 N
0.593 0.300 0.676 N
0.974 0.539 0.676 Li
0.513 0.461 0.176 Li
```

Calculated values
Its space-group type is C2/c, No. 15. The value obtained for the spin magnetization is 0.00 μB/f.u. As for the crystal system: monoclinic.

Entry Q
Compound: LiH2N
Source: Alexandria via LeMat-Bulk
Functional: GGA-PBEsol
Structure: optimized geometry

```
LiH2N
1.0
-3.018 0.262 -0.627
0.998 -1.586 -5.468
-0.861 -6.083 1.607
H N Li
8 4 4
Direct
0.749 0.685 0.788 H
0.251 0.185 0.212 H
0.249 0.185 0.712 H
0.751 0.685 0.288 H
0.877 0.064 0.354 H
0.123 0.564 0.646 H
0.377 0.564 0.146 H
0.623 0.064 0.854 H
0.811 0.630 0.636 N
0.189 0.130 0.364 N
0.311 0.130 0.864 N
0.689 0.630 0.136 N
0.828 0.371 0.932 Li
0.172 0.871 0.068 Li
0.328 0.871 0.568 Li
0.672 0.371 0.432 Li
```

Calculated values
Its space-group type is Pna2_1, No. 33. The value obtained for the spin magnetization is 0.00 μB/f.u. As for the crystal system: orthorhombic.

Which of them is the most stable, and which is the least stable? entry P and entry Q, in that order.